VASP calculation (PBE) on an optimized crystal structure of Pm2Dy7Sc.

Its calculated density is 7.6 g/cm³. As for the density of states at the Fermi level: 30.97 states/eV per cell. As for the calculated total energy: -4.632 eV per atom.

The structure belongs to space group Cmmm (No. 65); the cell edges are 6.4811, 28.6089 and 3.4540 Å and the angles 90.00°, 90.00° and 90.00°. The distinct sites, in fractional coordinates, are Pm at (0.0000, 0.2067, 0.0000), Dy at (0.0000, 0.0000, 0.0000), Dy at (0.0000, 0.3153, 0.5000), Dy at (0.2433, 0.4041, 0.0000) and Sc at (0.0000, 0.5000, 0.5000).


VASP calculation (PBE) on an optimized crystal structure of PmDy12Sc7.

Its calculated density is 6.7 g/cm³. As for the density of states at the Fermi level: 107.18 states/eV per cell. As for the calculated total energy: -4.954 eV per atom.

The structure belongs to space group R-3m (No. 166, hexagonal axes); the cell edges are 16.1433, 16.1433 and 7.9757 Å and the angles 90.00°, 90.00° and 120.00°. The distinct sites, in fractional coordinates, are Pm at (0.0000, 0.0000, 0.0000), Dy at (0.0000, 0.2832, 0.0000), Dy at (0.1104, 0.2207, 0.3089), Sc at (0.0000, 0.0000, 0.5000) and Sc at (0.1092, 0.5546, 0.3940).